# 1
# Pr2YZn3 (PBE-GGA, optimized geometry)
# * formation enthalpy at 0 K: -1.89 eV/f.u.
data_Pr2YZn3
_chemical_formula_sum 'Pr2 Y1 Zn3'
_space_group_name_H-M_alt 'P -3 m 1'
_space_group_IT_number 164
_space_group_name_Hall '-P 3 2"'
_cell_length_a 5.1818
_cell_length_b 5.1818
_cell_length_c 6.3742
_cell_angle_alpha 90.00
_cell_angle_beta 90.00
_cell_angle_gamma 120.00
loop_
_atom_site_label
_atom_site_fract_x
_atom_site_fract_y
_atom_site_fract_z
Pr1 0.3333 0.6667 0.1742
Y1 0.0000 0.0000 0.5000
Zn1 0.0000 0.0000 0.0000
Zn2 0.3333 0.6667 0.6630

# 2
# LaTb3PrHo (PBE-GGA, optimized geometry)
# * formation enthalpy at 0 K: 0.45 eV/f.u.
data_LaTb3PrHo
_chemical_formula_sum 'La2 Tb6 Pr2 Ho2'
_space_group_name_H-M_alt 'P 1 21/m 1'
_space_group_IT_number 11
_space_group_name_Hall '-P 2yb'
_cell_length_a 9.6477
_cell_length_b 3.7094
_cell_length_c 11.8066
_cell_angle_alpha 90.00
_cell_angle_beta 106.86
_cell_angle_gamma 90.00
loop_
_atom_site_label
_atom_site_fract_x
_atom_site_fract_y
_atom_site_fract_z
La1 0.0965 0.2500 0.2808
Tb1 0.1529 0.7500 0.0406
Tb2 0.1770 0.7500 0.5514
Tb3 0.2334 0.2500 0.8155
Pr1 0.4559 0.7500 0.3609
Ho1 0.4566 0.2500 0.1054

# 3
# ZnAg2Te (PBE-GGA, optimized geometry)
# * energy: -28.52 eV per cell
data_ZnAg2Te
_chemical_formula_sum 'Zn3 Ag6 Te3'
_space_group_name_H-M_alt 'R -3 m'
_space_group_IT_number 166
_space_group_name_Hall '-R 3 2"'
_cell_length_a 3.1187
_cell_length_b 3.1187
_cell_length_c 29.2577
_cell_angle_alpha 90.00
_cell_angle_beta 90.00
_cell_angle_gamma 120.00
loop_
_atom_site_label
_atom_site_fract_x
_atom_site_fract_y
_atom_site_fract_z
Zn1 0.0000 0.0000 0.0000
Ag1 0.0000 0.0000 0.2620
Te1 0.0000 0.0000 0.5000

# 4
# CaDyTh (PBE-GGA, optimized geometry)
# * formation enthalpy at 0 K: 0.15 eV/f.u.
data_CaDyTh
_chemical_formula_sum 'Ca2 Dy2 Th2'
_space_group_name_H-M_alt 'P 4/n m m'
_space_group_IT_number 129
_cell_length_a 3.6392
_cell_length_b 3.6392
_cell_length_c 15.7498
_cell_angle_alpha 90.00
_cell_angle_beta 90.00
_cell_angle_gamma 90.00
loop_
_space_group_symop_operation_xyz
'x,y,z'
'-x,-y,-z'
'-y+1/2,x,z'
'y+1/2,-x,-z'
'-x+1/2,-y+1/2,z'
'x+1/2,y+1/2,-z'
'y,-x+1/2,z'
'-y,x+1/2,-z'
'x+1/2,-y,-z'
'-x+1/2,y,z'
'-y,-x,-z'
'y,x,z'
'-x,y+1/2,-z'
'x,-y+1/2,z'
'y+1/2,x+1/2,-z'
'-y+1/2,-x+1/2,z'
loop_
_atom_site_label
_atom_site_fract_x
_atom_site_fract_y
_atom_site_fract_z
Ca1 0.2500 0.2500 0.0952
Dy1 0.2500 0.2500 0.7293
Th1 0.2500 0.2500 0.4235

# 5
# CaLa4Ru (PBE-GGA, optimized geometry)
# * formation enthalpy at 0 K: 4.01 eV/f.u.
data_CaLa4Ru
_chemical_formula_sum 'Ca4 La16 Ru4'
_space_group_name_H-M_alt 'F -4 3 m'
_space_group_IT_number 216
_space_group_name_Hall 'F -4 2 3'
_cell_length_a 9.1185
_cell_length_b 9.1185
_cell_length_c 9.1185
_cell_angle_alpha 90.00
_cell_angle_beta 90.00
_cell_angle_gamma 90.00
loop_
_atom_site_label
_atom_site_fract_x
_atom_site_fract_y
_atom_site_fract_z
Ca1 0.0000 0.0000 0.0000
La1 0.1222 0.1222 0.6222
Ru1 0.2500 0.2500 0.2500

# 6
# PPbSe2 (PBE-GGA, optimized geometry)
# * energy: -56.85 eV per cell
data_PPbSe2
_chemical_formula_sum 'P4 Pb4 Se8'
_space_group_name_H-M_alt 'F -4 3 m'
_space_group_IT_number 216
_space_group_name_Hall 'F -4 2 3'
_cell_length_a 7.0602
_cell_length_b 7.0602
_cell_length_c 7.0602
_cell_angle_alpha 90.00
_cell_angle_beta 90.00
_cell_angle_gamma 90.00
loop_
_atom_site_label
_atom_site_fract_x
_atom_site_fract_y
_atom_site_fract_z
P1 0.0000 0.0000 0.0000
Pb1 0.2500 0.2500 0.2500
Se1 0.0000 0.0000 0.5000
Se2 0.2500 0.2500 0.7500

Number 1: calculated volume 24.704 A^3/atom. Number 2: calculated volume 33.697 A^3/atom. Number 3: calculated volume 20.537 A^3/atom. Number 4: calculated volume 34.765 A^3/atom. Number 5: calculated volume 31.591 A^3/atom. Number 6: calculated volume 21.995 A^3/atom.